# 1
Density functional theory data (PBE-GGA) for a relaxed structure of AlTeRh2.

The structure belongs to space group P4mm (No. 99); the cell edges are 3.559, 3.559 and 5.320 Å and the angles 90.00°, 90.00° and 90.00°. The distinct sites, in fractional coordinates, are Al at (0.000, 0.000, 0.000), Te at (0.500, 0.500, 0.643), Rh at (0.000, 0.000, 0.479) and Rh at (0.500, 0.500, 0.138).

=====

# 2
Density functional theory data (PBE-GGA) for a relaxed structure of PmHo2CuS5.

The structure belongs to space group Cmc2_1 (No. 36); the cell edges are 3.807, 18.099 and 11.068 Å and the angles 90.00°, 90.00° and 90.00°. The distinct sites, in fractional coordinates, are Pm at (0.000, 0.196, 0.000), Ho at (0.000, 0.090, 0.674), Ho at (0.000, 0.110, 0.300), Cu at (0.000, 0.437, 0.443), S at (0.000, 0.046, 0.054), S at (0.000, 0.302, 0.685), S at (0.000, 0.330, 0.321), S at (0.000, 0.360, 0.996) and S at (0.000, 0.496, 0.771).

=====

# 3
Density functional theory data (PBE-GGA) for a relaxed structure of BeTeW2.

The structure belongs to space group F-43m (No. 216); the cell edges are 6.410, 6.410 and 6.410 Å and the angles 90.00°, 90.00° and 90.00°. The distinct sites, in fractional coordinates, are Be at (0.000, 0.000, 0.000), Te at (0.250, 0.250, 0.250), W at (0.000, 0.000, 0.500) and W at (0.250, 0.250, 0.750).

=====

# 4
Density functional theory data (PBE-GGA) for a relaxed structure of CePaNb2.

The structure belongs to space group R-3m (No. 166, hexagonal axes); the cell edges are 4.7320, 4.7320 and 13.9257 Å and the angles 90.00°, 90.00° and 120.00°. The distinct sites, in fractional coordinates, are Ce at (0.0000, 0.0000, 0.0000), Pa at (0.0000, 0.0000, 0.5000) and Nb at (0.0000, 0.0000, 0.2454).

As for the energy relative to the elements: 1.3 eV/f.u.

=====

# 5
Density functional theory data (PBE-GGA) for a relaxed structure of Tc3GeMo.

The structure belongs to space group Pm-3m (No. 221); the cell edges are 4.691, 4.691 and 4.691 Å and the angles 90.00°, 90.00° and 90.00°. The distinct sites, in fractional coordinates, are Tc at (0.000, 0.000, 0.500), Ge at (0.500, 0.500, 0.500) and Mo at (0.000, 0.000, 0.000).

As for the energy relative to the elements: 8.5 eV/f.u.

=====

# 6
Density functional theory data (PBE-GGA) for a relaxed structure of ReRuW.

The structure belongs to space group Imm2 (No. 44); the cell edges are 2.749, 3.919 and 8.401 Å and the angles 90.00°, 90.00° and 90.00°. The distinct sites, in fractional coordinates, are Re at (0.000, 0.000, 0.000), Ru at (0.000, 0.000, 0.660) and W at (0.000, 0.000, 0.329).

As for the energy relative to the elements: 0.3 eV/f.u.

=====

| no. | DOS at the Fermi energy (states/eV per cell) | E_tot (eV/atom) |
| --- | --- | --- |
| 1 | 2.27 | -5.82 |
| 2 | 0.49 | -5.97 |
| 3 | 15.82 | -7.41 |
| 4 | 20.59 | -8.58 |
| 5 | 5.37 | -7.60 |
| 6 | 5.69 | -11.45 |